Material: NdLuCdOs
Method: DFT, PBE
State: optimized geometry

The space group is F-43m (No. 216) and the conventional cell measures 7.147, 7.147 and 7.147 Å, with angles of 90.00, 90.00 and 90.00 degrees. The asymmetric unit holds Nd at (0.000, 0.000, 0.000), Lu at (0.000, 0.000, 0.500), Cd at (0.250, 0.250, 0.250) and Os at (0.250, 0.250, 0.750).

Material: NdLuCdPd
Method: DFT, PBE
State: optimized geometry

The space group is F-43m (No. 216) and the conventional cell measures 7.300, 7.300 and 7.300 Å, with angles of 90.00, 90.00 and 90.00 degrees. The asymmetric unit holds Nd at (0.000, 0.000, 0.000), Lu at (0.000, 0.000, 0.500), Cd at (0.250, 0.250, 0.250) and Pd at (0.250, 0.250, 0.750).

Material: PmNdLuCd
Method: DFT, PBE
State: optimized geometry

The space group is F-43m (No. 216) and the conventional cell measures 7.800, 7.800 and 7.800 Å, with angles of 90.00, 90.00 and 90.00 degrees. The asymmetric unit holds Pm at (0.000, 0.000, 0.000), Nd at (0.000, 0.000, 0.500), Lu at (0.250, 0.250, 0.750) and Cd at (0.250, 0.250, 0.250).

Material: PrNdLuCd
Method: DFT, PBE
State: optimized geometry

The space group is F-43m (No. 216) and the conventional cell measures 7.843, 7.843 and 7.843 Å, with angles of 90.00, 90.00 and 90.00 degrees. The asymmetric unit holds Pr at (0.000, 0.000, 0.000), Nd at (0.000, 0.000, 0.500), Lu at (0.250, 0.250, 0.250) and Cd at (0.250, 0.250, 0.750).

Material: NdLuCdRh
Method: DFT, PBE
State: optimized geometry

The space group is F-43m (No. 216) and the conventional cell measures 7.203, 7.203 and 7.203 Å, with angles of 90.00, 90.00 and 90.00 degrees. The asymmetric unit holds Nd at (0.000, 0.000, 0.000), Lu at (0.000, 0.000, 0.500), Cd at (0.250, 0.250, 0.250) and Rh at (0.250, 0.250, 0.750).

Material: NdLuCdRu
Method: DFT, PBE
State: optimized geometry

The space group is F-43m (No. 216) and the conventional cell measures 7.170, 7.170 and 7.170 Å, with angles of 90.00, 90.00 and 90.00 degrees. The asymmetric unit holds Nd at (0.000, 0.000, 0.000), Lu at (0.000, 0.000, 0.500), Cd at (0.250, 0.250, 0.250) and Ru at (0.250, 0.250, 0.750).

Material: NdLuScCd
Method: DFT, PBE
State: optimized geometry

The space group is F-43m (No. 216) and the conventional cell measures 7.586, 7.586 and 7.586 Å, with angles of 90.00, 90.00 and 90.00 degrees. The asymmetric unit holds Nd at (0.000, 0.000, 0.000), Lu at (0.000, 0.000, 0.500), Sc at (0.250, 0.250, 0.250) and Cd at (0.250, 0.250, 0.750).

Material: NdSmLuCd
Method: DFT, PBE
State: optimized geometry

The space group is F-43m (No. 216) and the conventional cell measures 7.786, 7.786 and 7.786 Å, with angles of 90.00, 90.00 and 90.00 degrees. The asymmetric unit holds Nd at (0.000, 0.000, 0.000), Sm at (0.000, 0.000, 0.500), Lu at (0.250, 0.250, 0.250) and Cd at (0.250, 0.250, 0.750).

Material: NdLuCdTc
Method: DFT, PBE
State: optimized geometry

The space group is F-43m (No. 216) and the conventional cell measures 7.176, 7.176 and 7.176 Å, with angles of 90.00, 90.00 and 90.00 degrees. The asymmetric unit holds Nd at (0.000, 0.000, 0.000), Lu at (0.000, 0.000, 0.500), Cd at (0.250, 0.250, 0.750) and Tc at (0.250, 0.250, 0.250).

Material: NdLuThCd
Method: DFT, PBE
State: optimized geometry

The space group is F-43m (No. 216) and the conventional cell measures 7.793, 7.793 and 7.793 Å, with angles of 90.00, 90.00 and 90.00 degrees. The asymmetric unit holds Nd at (0.000, 0.000, 0.000), Lu at (0.250, 0.250, 0.250), Th at (0.000, 0.000, 0.500) and Cd at (0.250, 0.250, 0.750).

Material: NdLuTlCd
Method: DFT, PBE
State: optimized geometry

The space group is F-43m (No. 216) and the conventional cell measures 7.597, 7.597 and 7.597 Å, with angles of 90.00, 90.00 and 90.00 degrees. The asymmetric unit holds Nd at (0.000, 0.000, 0.000), Lu at (0.000, 0.000, 0.500), Tl at (0.250, 0.250, 0.750) and Cd at (0.250, 0.250, 0.250).

Material: NdTmLuCd
Method: DFT, PBE
State: optimized geometry

The space group is F-43m (No. 216) and the conventional cell measures 7.705, 7.705 and 7.705 Å, with angles of 90.00, 90.00 and 90.00 degrees. The asymmetric unit holds Nd at (0.000, 0.000, 0.000), Tm at (0.000, 0.000, 0.500), Lu at (0.250, 0.250, 0.750) and Cd at (0.250, 0.250, 0.250).

It is found that the calculated formation energy values, taken in the order of the records, are -0.14, -0.51, -0.06, -0.07, -0.48, -0.23, -0.03, -0.06, -0.04, 0.03, -0.32, -0.04 eV per atom.